No. 1
The following is a PBE calculation of crystalline PrErAgGe at its relaxed geometry, from the Alexandria database.

Cell: 7.310 7.310 7.310 Å, 90.00 90.00 90.00°
Space group F-43m (No. 216)
Asymmetric unit:
Pr 0.000 0.000 0.000 x4
Er 0.000 0.000 0.500 x4
Ag 0.250 0.250 0.250 x4
Ge 0.250 0.250 0.750 x4

***

No. 2
The following is a PBE calculation of crystalline ErPuAgGe at its relaxed geometry, from the Alexandria database.

Cell: 7.195 7.195 7.195 Å, 90.00 90.00 90.00°
Space group F-43m (No. 216)
Asymmetric unit:
Er 0.000 0.000 0.000 x4
Pu 0.000 0.000 0.500 x4
Ag 0.250 0.250 0.250 x4
Ge 0.250 0.250 0.750 x4

***

No. 3
The following is a PBE calculation of crystalline Er2AgGe2Rh5 at its relaxed geometry, from the Alexandria database.

Cell: 9.750 9.750 3.587 Å, 90.00 90.00 90.00°
Space group P4/mbm (No. 127)
Asymmetric unit:
Er 0.173 0.327 0.000 x4
Ag 0.000 0.000 0.000 x2
Ge 0.126 0.626 0.000 x4
Rh 0.000 0.500 0.500 x2
Rh 0.068 0.790 0.500 x8

***

Number 1: ΔE_f -0.499 eV/atom. Number 2: ΔE_f -0.345 eV/atom. Number 3: ΔE_f -0.689 eV/atom.